1.
{
  "formula": "ThCuAu",
  "functional": "GGA-PBE",
  "state": "optimized geometry",
  "lattice_angstrom": [[-1.779, 1.779, 5.037], [1.779, -1.779, 5.037], [1.779, 1.779, -5.037]],
  "species": ["Th", "Cu", "Au"],
  "frac_coords": [[0.000, 0.000, 0.000], [0.315, 0.315, 0.000], [0.692, 0.692, 0.000]],
  "total_energy_ev_per_cell": -15.8,
  "sg": "No. 107",
  "relative_energy_ev_per_fu": 0.51,
  "formation_enthalpy_0k_mev_per_atom": -320.0
}

=====

2.
{
  "formula": "CaMnFeC2",
  "functional": "GGA-PBE",
  "state": "optimized geometry",
  "lattice_angstrom": [[-1.762, 1.762, 4.950], [1.762, -1.762, 4.950], [1.762, 1.762, -4.950]],
  "species": ["Ca", "Mn", "Fe", "C", "C"],
  "frac_coords": [[0.000, 0.000, 0.000], [0.250, 0.750, 0.500], [0.750, 0.250, 0.500], [0.327, 0.327, 0.000], [0.673, 0.673, 0.000]],
  "total_energy_ev_per_cell": -38.5,
  "sg": "No. 119",
  "formation_enthalpy_0k_mev_per_atom": -88.8
}